# 1
Entry from Alexandria via LeMat-Bulk: a relaxed structure of La2DyY9 (GGA-PBE).

Results
DFT formation energy = 3.0 kJ per mole of atoms
Symmetry = P4/mmm (123)
Crystal system = tetragonal
DFT total energy = -72.26 eV per cell

Structure (POSCAR):
```
La2DyY9
1.0
-0.119 -4.969 1.103
4.890 0.194 1.404
-4.245 3.282 14.334
La Dy Y
2 1 9
direct
0.000 0.000 0.333
0.000 0.000 0.667
0.000 0.000 0.000
0.500 0.500 0.000
0.500 0.500 0.331
0.500 0.500 0.669
0.500 0.000 0.163
0.500 0.000 0.500
0.500 0.000 0.837
0.000 0.500 0.163
0.000 0.500 0.500
0.000 0.500 0.837
```



# 2
Entry from Alexandria via LeMat-Bulk: a relaxed structure of TmSbPtAu (GGA-PBE).

Results
Symmetry = F-43m (216)
Crystal system = cubic
Formation energy (no corrections) = -0.7074 eV per atom
DFT total energy = -20.74 eV per cell

Structure (POSCAR):
```
TmSbPtAu
1.0
-1.287 -4.561 -1.215
1.674 -1.993 -4.143
3.304 -3.604 0.180
Sb Tm Au Pt
1 1 1 1
direct
0.500 0.500 0.500
0.000 0.000 0.000
0.250 0.250 0.250
0.750 0.750 0.750
```



# 3
Entry from Alexandria via LeMat-Bulk: a relaxed structure of Er3AgPt2 (GGA-PBE).

Results
DFT formation energy = -93.2 kJ per mole of atoms
Symmetry = Cmmm (65)
Crystal system = orthorhombic
DFT total energy = -34.41 eV per cell

Structure (POSCAR):
```
Er3AgPt2
1.0
3.536 0.000 0.000
0.000 4.702 -1.557
0.000 -0.037 7.767
Er Ag Pt
3 1 2
direct
0.500 0.500 0.000
0.500 0.827 0.654
0.500 0.173 0.346
0.000 0.000 0.000
0.000 0.338 0.676
0.000 0.662 0.324
```



# 4
Entry from Alexandria via LeMat-Bulk: a relaxed structure of CeGdAgSn (GGA-PBE).

Results
DFT formation energy = -42.8 kJ per mole of atoms
Symmetry = F-43m (216)
Crystal system = cubic
DFT total energy = -28.64 eV per cell

Structure (POSCAR):
```
CeGdAgSn
1.0
-2.916 2.588 -3.649
-3.720 -2.621 -2.794
-5.177 0.948 0.902
Ag Gd Sn Ce
1 1 1 1
direct
0.750 0.750 0.750
0.500 0.500 0.500
0.250 0.250 0.250
0.000 0.000 0.000
```



# 5
Entry from Alexandria via LeMat-Bulk: a relaxed structure of PrReS2 (GGA-PBE).

Results
Symmetry = R-3m (166)
Crystal system = trigonal
Formation energy (no corrections) = -0.1968 eV per atom
DFT total energy = -26.27 eV per cell

Structure (POSCAR):
```
PrReS2
1.0
-3.088 1.024 -0.355
-2.377 -2.158 -0.632
-3.179 -1.443 8.411
Pr Re S
1 1 2
direct
0.000 0.000 0.000
0.500 0.500 0.500
0.109 0.109 0.674
0.891 0.891 0.326
```